Here is Cu5Ag4 after structural relaxation from the Open Quantum Materials Database. Energies are from PBE-GGA.

Lattice parameters (Å, degrees): 4.780 4.780 11.180 112.39 112.39 34.08
Sites, in units of the cell vectors:
Cu  0.175  0.175  0.054
Ag  0.168  0.168  0.712
Cu  0.825  0.825  0.946
Ag  0.832  0.832  0.288
Cu  0.500  0.500  0.500
Ag  0.498  0.498  0.838
Cu  0.835  0.835  0.597
Ag  0.502  0.502  0.162
Cu  0.165  0.165  0.403

Properties
Calculated total energy, eV per atom: -3.227
Theoretical density, g/cm3: 9.478

***

Here is HfCuSiGe after structural relaxation from the Open Quantum Materials Database. Energies are from PBE-GGA.

Lattice parameters (Å, degrees): 3.748 3.748 9.022 90.00 90.00 90.00
Sites, in units of the cell vectors:
Si  0.000  0.500  0.328
Hf  0.500  0.000  0.241
Ge  0.500  0.500  0.000
Cu  0.000  0.000  0.500
Cu  0.500  0.500  0.500
Hf  0.000  0.500  0.759
Si  0.500  0.000  0.672
Ge  0.000  0.000  0.000

Properties
Calculated total energy, eV per atom: -6.371
Size of the total moment, μB/cell: 0.01
Theoretical density, g/cm3: 8.982

***

Here is DyErCu after structural relaxation from the Open Quantum Materials Database. Energies are from PBE-GGA.

Lattice parameters (Å, degrees): 4.742 4.742 4.742 60.00 60.00 60.00
Sites, in units of the cell vectors:
Er  0.750  0.750  0.750
Dy  0.000  0.000  0.000
Cu  0.250  0.250  0.250

Properties
Calculated total energy, eV per atom: -3.568
Size of the total moment, μB/cell: 0.00
Theoretical density, g/cm3: 8.663

***

Here is KEr after structural relaxation from the Open Quantum Materials Database. Energies are from PBE-GGA.

Lattice parameters (Å, degrees): 4.960 4.960 4.960 60.00 60.00 60.00
Sites, in units of the cell vectors:
K  0.500  0.500  0.500
Er  0.000  0.000  0.000

Properties
Calculated total energy, eV per atom: -1.582
Size of the total moment, μB/cell: 0.00
Theoretical density, g/cm3: 3.972

***

> theoretical density of number 2 (HfCuSiGe)?

8.982 g/cm3

***

> Among the records above, which one has the highest calculated total energy?

KEr

***

> Among the records above, which one has the lowest theoretical density?

KEr